[1]
Here is an optimized crystal structure of Zr2ScSi2Ni4Ge2 from OQMD. Energies are from PBE.

a b c (Å): 7.480 7.480 7.480
angles (deg): 149.58 128.60 60.91
Positions (direct):
Ni 0.369 0.171 0.199
Ge 0.215 0.715 0.500
Zr 0.375 0.375 0.000
Si 0.690 0.000 0.690
Ni 0.972 0.171 0.801
Sc 0.000 0.500 0.500
Si 0.310 0.000 0.310
Ni 0.028 0.829 0.199
Ni 0.631 0.829 0.801
Zr 0.625 0.625 0.000
Ge 0.785 0.285 0.500

Output
volume: 164.2 Å³ per cell
symmetry: No. 71
total magnetic moment: 0.00 μB/atom
E: -74.32 eV/cell
E above lowest polymorph: 52 meV per atom



[2]
Here is an optimized crystal structure of DyMgAgSe2S from OQMD. Energies are from PBE.

a b c (Å): 6.766 6.766 10.641
angles (deg): 90.00 90.00 146.59
Positions (direct):
Mg 0.753 0.247 0.250
Mg 0.247 0.753 0.750
Ag 0.515 0.485 0.750
Ag 0.485 0.515 0.250
S 0.114 0.886 0.250
Se 0.349 0.651 0.429
Dy 0.000 0.000 0.500
S 0.886 0.114 0.750
Se 0.651 0.349 0.571
Se 0.651 0.349 0.929
Se 0.349 0.651 0.071
Dy 0.000 0.000 0.000

Output
volume: 268.3 Å³ per cell
symmetry: No. 63
total magnetic moment: 0.00 μB/atom
E: -53.27 eV/cell



[3]
Here is an optimized crystal structure of UInPt from OQMD. Energies are from PBE.

a b c (Å): 4.837 4.837 4.837
angles (deg): 60.00 60.00 60.00
Positions (direct):
Pt 0.500 0.500 0.500
U 0.250 0.250 0.250
In 0.000 0.000 0.000

Output
volume: 80.0 Å³ per cell
symmetry: No. 216
total magnetic moment: 0.85 μB/atom
E: -19.01 eV/cell



Repeat the first record exactly.
Here is an optimized crystal structure of Zr2ScSi2Ni4Ge2 from OQMD. Energies are from PBE.

a b c (Å): 7.480 7.480 7.480
angles (deg): 149.58 128.60 60.91
Positions (direct):
Ni 0.369 0.171 0.199
Ge 0.215 0.715 0.500
Zr 0.375 0.375 0.000
Si 0.690 0.000 0.690
Ni 0.972 0.171 0.801
Sc 0.000 0.500 0.500
Si 0.310 0.000 0.310
Ni 0.028 0.829 0.199
Ni 0.631 0.829 0.801
Zr 0.625 0.625 0.000
Ge 0.785 0.285 0.500

Output
volume: 164.2 Å³ per cell
symmetry: No. 71
total magnetic moment: 0.00 μB/atom
E: -74.32 eV/cell
E above lowest polymorph: 52 meV per atom